# PuBeAgO6

A relaxed PuBeAgO6 crystal (PBE-GGA, the Alexandria database).

```
18
Lattice="5.0551 0.0000 0.0000 -2.5275 4.3778 0.0000 0.0000 0.0000 9.5277" Properties=species:S:1:pos:R:3 pbc="T T T"
Pu 0.0000 2.9185 2.3819
Pu 2.5275 1.4593 7.1458
Be 0.0000 2.9185 7.1458
Be 2.5275 1.4593 2.3819
Ag 0.0000 0.0000 0.0000
Ag 0.0000 0.0000 4.7639
O -0.8470 1.6211 6.1105
O -1.5471 2.8338 8.1811
O 0.8470 1.6211 8.1811
O -0.7001 4.3008 6.1105
O 1.8274 0.0770 1.3466
O 0.9804 1.5441 3.4172
O 1.5471 2.8338 6.1105
O 0.7001 4.3008 8.1811
O 3.2277 0.0770 3.4172
O 1.6806 2.7567 1.3466
O 4.0746 1.5441 1.3466
O 3.3745 2.7567 3.4172
```

Volume: 210.8 Å³/cell
Symmetry: P-31c
Formation energy without anion corrections: -141 kJ/mol of atoms
Fermi-level density of states: 14.32 states/eV per cell